A plane-wave DFT calculation with PBE-GGA was carried out for crystalline RbHfP2S8 at its relaxed geometry.

Density: 3186 kg/m3
Uncorrected formation energy: -584 meV per atom
SG: No. 147
Total moment: 0.74 μB/f.u.
E_tot: -61.77 eV for the cell shown

The structure in POSCAR format:
```
RbHfP2S8
1.0
6.116 0.000 0.000
-3.058 5.297 0.000
0.000 0.000 9.369
Rb Hf P S
1 1 2 8
direct
0.000 0.000 0.000
0.000 0.000 0.500
0.333 0.667 0.720
0.667 0.333 0.280
0.005 0.343 0.657
0.333 0.667 0.934
0.338 0.995 0.657
0.343 0.338 0.343
0.657 0.662 0.657
0.662 0.005 0.343
0.667 0.333 0.066
0.995 0.657 0.343
```